First-principles (PBE-GGA) data for an optimized crystal structure of CePuRe, as listed in Alexandria via LeMat-Bulk.

Cell lengths 5.8252, 5.8252, 5.8252 Å; angles 145.96, 145.96, 48.90 degrees
With the nearest neighbours (Å) after each atom.
Atoms (fractional coordinates):
Ce 0.0000 0.0000 0.0000  4 Re 3.02, 4 Pu 3.04
Pu 0.3262 0.3262 0.0000  4 Re 2.92, 4 Ce 3.04
Re 0.6709 0.6709 0.0000  4 Pu 2.92, 4 Ce 3.02

Values from the calculation:
The calculation puts the energy relative to the elements at 0.3 eV/f.u. The calculation puts the relative energy among the computed polymorphs at 0 meV/atom. The density of states at the Fermi level comes out at 7.6 states/eV/cell.


First-principles (PBE-GGA) data for an optimized crystal structure of CePuRe4, as listed in Alexandria via LeMat-Bulk.

Cell lengths 5.4367, 5.4367, 5.4367 Å; angles 60.00, 60.00, 60.00 degrees
With the nearest neighbours (Å) after each atom.
Atoms (fractional coordinates):
Ce 0.0000 0.0000 0.0000  12 Re 3.19, 4 Pu 3.33
Pu 0.7500 0.7500 0.7500  12 Re 3.19, 4 Ce 3.33
Re 0.3751 0.3751 0.3751  6 Re 2.72
Re 0.3751 0.3751 0.8747  6 Re 2.72
Re 0.3751 0.8747 0.3751  6 Re 2.72
Re 0.8747 0.3751 0.3751  6 Re 2.72

Values from the calculation:
The calculation puts the energy relative to the elements at 0.0 eV/f.u. The density of states at the Fermi level comes out at 13.5 states/eV/cell.


First-principles (PBE-GGA) data for an optimized crystal structure of Ce2PuRe, as listed in Alexandria via LeMat-Bulk.

Cell lengths 7.9962, 7.9962, 7.9962 Å; angles 24.83, 24.83, 24.83 degrees
With the nearest neighbours (Å) after each atom.
Atoms (fractional coordinates):
Ce 0.2382 0.2382 0.2382  3 Pu 2.59
Ce 0.7618 0.7618 0.7618  3 Pu 2.59
Pu 0.5000 0.5000 0.5000  6 Ce 2.59
Re 0.0000 0.0000 0.0000  6 Ce 2.97

Values from the calculation:
The calculation puts the energy relative to the elements at 3.0 eV/f.u. The calculation puts the relative energy among the computed polymorphs at 610 meV/atom. The density of states at the Fermi level comes out at 5.1 states/eV/cell.


First-principles (PBE-GGA) data for an optimized crystal structure of CePu2Re, as listed in Alexandria via LeMat-Bulk.

Cell lengths 4.9764, 4.9764, 4.9764 Å; angles 60.00, 60.00, 60.00 degrees
With the nearest neighbours (Å) after each atom.
Atoms (fractional coordinates):
Ce 0.0000 0.0000 0.0000  8 Pu 3.05
Pu 0.2500 0.2500 0.2500  4 Re 3.05, 4 Ce 3.05
Pu 0.7500 0.7500 0.7500  4 Re 3.05, 4 Ce 3.05
Re 0.5000 0.5000 0.5000  8 Pu 3.05

Values from the calculation:
The calculation puts the energy relative to the elements at 0.5 eV/f.u. The calculation puts the relative energy among the computed polymorphs at 0 meV/atom. The density of states at the Fermi level comes out at 12.3 states/eV/cell.


First-principles (PBE-GGA) data for an optimized crystal structure of Ce2PuRe, as listed in Alexandria via LeMat-Bulk.

Cell lengths 3.4124, 3.4124, 7.9433 Å; angles 90.00, 90.00, 90.00 degrees
With the nearest neighbours (Å) after each atom.
Atoms (fractional coordinates):
Ce 0.0000 0.0000 0.2200  4 Re 2.98, 4 Pu 3.28
Ce 0.0000 0.0000 0.7800  4 Re 2.98, 4 Pu 3.28
Pu 0.5000 0.5000 0.5000  8 Ce 3.28, 4 Pu 3.41
Re 0.5000 0.5000 0.0000  8 Ce 2.98

Values from the calculation:
The calculation puts the energy relative to the elements at 0.6 eV/f.u. The calculation puts the relative energy among the computed polymorphs at 0 meV/atom. The density of states at the Fermi level comes out at 9.5 states/eV/cell.


First-principles (PBE-GGA) data for an optimized crystal structure of Ce8PuRe2, as listed in Alexandria via LeMat-Bulk.

Cell lengths 8.2737, 8.2737, 5.7182 Å; angles 104.53, 104.53, 124.69 degrees
With the nearest neighbours (Å) after each atom.
Atoms (fractional coordinates):
Ce 0.0000 0.0000 0.0000  1 Pu 2.62
Ce 0.1587 0.4356 0.0564  1 Re 2.74, 3 Ce 2.94-2.98
Ce 0.3291 0.3291 0.6996  1 Pu 2.76, 2 Ce 2.98
Ce 0.4302 0.8115 0.7291  1 Re 2.84, 1 Pu 2.96, 2 Ce 2.98-3.08
Ce 0.4356 0.1587 0.0564  1 Re 2.74, 3 Ce 2.94-2.98
Ce 0.6787 0.9277 0.3291  1 Re 2.55
Ce 0.8115 0.4302 0.7291  1 Re 2.84, 1 Pu 2.96, 2 Ce 2.98-3.08
Ce 0.9277 0.6787 0.3291  1 Re 2.55
Pu 0.6216 0.6216 0.5605  2 Ce 2.62-2.76
Re 0.3034 0.9283 0.3388  3 Ce 2.55-2.84
Re 0.9283 0.3034 0.3388  3 Ce 2.55-2.84

Values from the calculation:
The calculation puts the energy relative to the elements at 1.4 eV/f.u. The density of states at the Fermi level comes out at 22.2 states/eV/cell.


First-principles (PBE-GGA) data for an optimized crystal structure of CePuRe, as listed in Alexandria via LeMat-Bulk.

Cell lengths 5.6997, 5.6997, 5.6997 Å; angles 127.78, 122.50, 81.37 degrees
With the nearest neighbours (Å) after each atom.
Atoms (fractional coordinates):
Ce 0.4095 0.1595 0.2500  3 Pu 2.74-2.89, 2 Ce 2.96
Ce 0.5905 0.8405 0.7500  3 Pu 2.74-2.89, 2 Ce 2.96
Pu 0.0752 0.8252 0.2500  3 Ce 2.74-2.89, 2 Pu 2.83
Pu 0.9248 0.1748 0.7500  3 Ce 2.74-2.89, 2 Pu 2.83
Re 0.0000 0.5000 0.5000  2 Re 2.74
Re 0.5000 0.5000 0.0000  2 Re 2.74

Values from the calculation:
The calculation puts the energy relative to the elements at 0.5 eV/f.u. The calculation puts the relative energy among the computed polymorphs at 54 meV/atom. The density of states at the Fermi level comes out at 13.2 states/eV/cell.


First-principles (PBE-GGA) data for an optimized crystal structure of CePu2Re, as listed in Alexandria via LeMat-Bulk.

Cell lengths 3.4006, 3.4006, 7.4603 Å; angles 90.00, 90.00, 90.00 degrees
With the nearest neighbours (Å) after each atom.
Atoms (fractional coordinates):
Ce 0.0000 0.0000 0.0000  8 Pu 3.17, 4 Ce 3.40
Pu 0.5000 0.5000 0.2766  4 Re 2.93, 4 Ce 3.17
Pu 0.5000 0.5000 0.7234  4 Re 2.93, 4 Ce 3.17
Re 0.0000 0.0000 0.5000  8 Pu 2.93

Values from the calculation:
The calculation puts the energy relative to the elements at 0.6 eV/f.u. The calculation puts the relative energy among the computed polymorphs at 19 meV/atom. The density of states at the Fermi level comes out at 11.5 states/eV/cell.